# 1
Material: Pu3AgC
Method: DFT, PBE
State: optimized geometry

Calculated values
As for the total magnetic moment: 17.0 Bohr magnetons per cell. As for the energy relative to the elements: 0.1193 eV per atom. Its density of states at the Fermi level is 3.444 states/eV per atom.

Unit cell a=4.858 b=4.858 c=4.858 alpha=90.00 beta=90.00 gamma=90.00
Sites, in units of the cell vectors:
Pu (0.000, 0.000, 0.500)
Pu (0.000, 0.500, 0.000)
Pu (0.500, 0.000, 0.000)
Ag (0.500, 0.500, 0.500)
C (0.000, 0.000, 0.000)

---

# 2
Material: YMn2Ru
Method: DFT, PBE
State: optimized geometry

Calculated values
As for the total magnetic moment: 0.0 Bohr magnetons per cell. As for the energy relative to the elements: 0.1900 eV per atom. Its density of states at the Fermi level is 1.030 states/eV per atom. The relative energy among the computed polymorphs comes out at 0.1027 eV per atom.

Unit cell a=5.497 b=5.497 c=5.497 alpha=43.72 beta=43.72 gamma=43.72
Sites, in units of the cell vectors:
Y (0.000, 0.000, 0.000)
Mn (0.192, 0.192, 0.192)
Mn (0.808, 0.808, 0.808)
Ru (0.500, 0.500, 0.500)

---

# 3
Material: ZnNi2
Method: DFT, PBE
State: optimized geometry

Calculated values
As for the total magnetic moment: 0.0 Bohr magnetons per cell. As for the energy relative to the elements: -0.1417 eV per atom. Its density of states at the Fermi level is 0.862 states/eV per atom.

Unit cell a=4.037 b=4.037 c=4.946 alpha=90.00 beta=90.00 gamma=120.00
Sites, in units of the cell vectors:
Zn (0.333, 0.667, 0.322)
Zn (0.667, 0.333, 0.678)
Ni (0.000, 0.000, 0.000)
Ni (0.000, 0.000, 0.500)
Ni (0.333, 0.667, 0.831)
Ni (0.667, 0.333, 0.169)